[1]
## TaFe2Os (GGA-PBE)

Data for a relaxed TaFe2Os crystal.

abc: 2.6777 4.2383 5.0948
angles: 90.00 102.13 90.00
Last column: nearest neighbours and their distance in Å.
Sites, in units of the cell vectors:
Ta  0.0000  0.0000  0.0000  2 Os 2.62, 4 Fe 2.65, 2 Ta 2.68
Fe  0.2484  0.5000  0.7418  4 Fe 2.54-2.69, 2 Os 2.61, 2 Ta 2.65
Fe  0.7516  0.5000  0.2582  4 Fe 2.54-2.69, 2 Os 2.61, 2 Ta 2.65
Os  0.5000  0.0000  0.5000  4 Fe 2.61, 2 Ta 2.62, 2 Os 2.68

## Properties
crystal system: monoclinic
calculated total energy: -39.76 eV per cell
spin magnetization: 1.19 μB per atom
ΔH_f (0 K): 0.06 eV/atom

***

[2]
## TaFe2Os (GGA-PBE)

Data for a relaxed TaFe2Os crystal.

abc: 3.0902 3.0902 5.8839
angles: 90.00 90.00 90.00
Last column: nearest neighbours and their distance in Å.
Sites, in units of the cell vectors:
Ta  0.0000  0.0000  0.0000  5 Fe 2.65-2.80, 4 Os 2.69
Fe  0.0000  0.0000  0.4757  4 Fe 2.54, 4 Os 2.66, 1 Ta 2.80
Fe  0.5000  0.5000  0.2557  4 Fe 2.54, 4 Ta 2.65, 1 Os 2.82
Os  0.5000  0.5000  0.7344  5 Fe 2.66-2.82, 4 Ta 2.69

## Properties
crystal system: tetragonal
calculated total energy: -40.38 eV per cell
spin magnetization: 1.17 μB per atom
ΔH_f (0 K): -0.09 eV/atom

***

[3]
## TaFe2Os (GGA-PBE)

Data for a relaxed TaFe2Os crystal.

abc: 2.6776 4.2202 5.0518
angles: 90.00 100.38 90.00
Last column: nearest neighbours and their distance in Å.
Sites, in units of the cell vectors:
Ta  0.0000  0.0000  0.0000  4 Fe 2.60-2.68, 2 Os 2.66, 2 Ta 2.68
Fe  0.5271  0.0000  0.4858  4 Fe 2.49-2.68, 2 Ta 2.60-2.68, 2 Os 2.62
Fe  0.7233  0.5000  0.2640  4 Fe 2.49-2.68, 2 Os 2.53-2.76, 2 Ta 2.67
Os  0.2497  0.5000  0.7321  4 Fe 2.53-2.76, 2 Ta 2.66, 2 Os 2.68

## Properties
crystal system: monoclinic
calculated total energy: -39.96 eV per cell
spin magnetization: 1.12 μB per atom
ΔH_f (0 K): 0.01 eV/atom

***

[4]
## Ta2FeOs (GGA-PBE)

Data for a relaxed Ta2FeOs crystal.

abc: 5.0394 5.0394 2.8270
angles: 99.49 99.49 113.64
Last column: nearest neighbours and their distance in Å.
Sites, in units of the cell vectors:
Ta  0.0000  0.5000  0.0000  2 Fe 2.68, 2 Os 2.68, 4 Ta 2.76-2.83
Ta  0.5000  0.0000  0.0000  2 Fe 2.68, 2 Os 2.68, 4 Ta 2.76-2.83
Fe  0.0000  0.0000  0.5000  4 Ta 2.68, 2 Os 2.76, 2 Fe 2.83
Os  0.5000  0.5000  0.5000  4 Ta 2.68, 2 Fe 2.76, 2 Os 2.83

## Properties
crystal system: monoclinic
calculated total energy: -43.59 eV per cell
excess energy over the best structure of this formula in the dataset: 0.215 eV/atom
spin magnetization: 0.56 μB per atom
ΔH_f (0 K): -0.05 eV/atom

***

[5]
## TaFe2Os (GGA-PBE)

Data for a relaxed TaFe2Os crystal.

abc: 4.9854 4.9854 4.9854
angles: 143.51 129.84 63.61
Last column: nearest neighbours and their distance in Å.
Sites, in units of the cell vectors:
Ta  0.0000  0.0000  0.0000  6 Fe 2.63-2.66, 2 Os 2.67
Fe  0.2544  0.7544  0.5000  2 Fe 2.54, 4 Os 2.63, 2 Ta 2.66
Fe  0.4915  0.4915  0.0000  2 Fe 2.54, 4 Ta 2.63, 2 Os 2.65
Os  0.7442  0.2442  0.5000  6 Fe 2.63-2.65, 2 Ta 2.67

## Properties
crystal system: orthorhombic
calculated total energy: -40.22 eV per cell
spin magnetization: 1.23 μB per atom
ΔH_f (0 K): -0.05 eV/atom

***

[6]
## TaFe4Os2 (GGA-PBE)

Data for a relaxed TaFe4Os2 crystal.

abc: 6.9588 6.9588 6.9588
angles: 143.33 143.33 52.83
Last column: nearest neighbours and their distance in Å.
Sites, in units of the cell vectors:
Ta  0.0000  0.0000  0.0000  4 Fe 2.19
Fe  0.0000  0.5000  0.5000  2 Ta 2.19
Fe  0.2043  0.2043  0.0000  1 Os 2.35, 1 Ta 2.55
Fe  0.5000  0.0000  0.5000  2 Ta 2.19
Fe  0.7957  0.7957  0.0000  1 Os 2.35, 1 Ta 2.55
Os  0.3927  0.3927  0.0000  5 Fe 2.35-2.57
Os  0.6073  0.6073  0.0000  5 Fe 2.35-2.57

## Properties
crystal system: tetragonal
calculated total energy: -58.31 eV per cell
spin magnetization: 1.27 μB per atom
ΔH_f (0 K): 1.41 eV/atom

***

[7]
## TaFe2Os (GGA-PBE)

Data for a relaxed TaFe2Os crystal.

abc: 9.7315 9.7315 9.7315
angles: 158.51 158.51 30.58
Last column: nearest neighbours and their distance in Å.
Sites, in units of the cell vectors:
Ta  0.0000  0.0000  0.0000  4 Os 2.57, 4 Fe 2.69
Ta  0.7500  0.2500  0.5000  4 Os 2.57, 4 Fe 2.69
Fe  0.1380  0.6250  0.0130  4 Fe 2.50-2.63, 2 Os 2.66, 2 Ta 2.69
Fe  0.3750  0.3880  0.5130  4 Fe 2.50-2.63, 2 Os 2.66, 2 Ta 2.69
Fe  0.6120  0.1250  0.9870  4 Fe 2.50-2.63, 2 Os 2.66, 2 Ta 2.69
Fe  0.8750  0.8620  0.4870  4 Fe 2.50-2.63, 2 Os 2.66, 2 Ta 2.69
Os  0.2500  0.7500  0.5000  4 Ta 2.57, 4 Fe 2.66
Os  0.5000  0.5000  0.0000  4 Ta 2.57, 4 Fe 2.66

## Properties
crystal system: tetragonal
calculated total energy: -75.83 eV per cell
spin magnetization: 1.27 μB per atom
ΔH_f (0 K): 0.52 eV/atom

***

[8]
## Ta3Fe2Os (GGA-PBE)

Data for a relaxed Ta3Fe2Os crystal.

abc: 6.9586 6.9586 3.1032
angles: 90.00 90.00 142.73
Last column: nearest neighbours and their distance in Å.
Sites, in units of the cell vectors:
Ta  0.0000  0.0000  0.0000  4 Fe 2.66, 4 Os 2.71
Ta  0.3275  0.6725  0.0000  6 Fe 2.66-2.71, 2 Os 2.75
Ta  0.6725  0.3275  0.0000  6 Fe 2.66-2.71, 2 Os 2.75
Fe  0.1637  0.8363  0.5000  8 Ta 2.66-2.71
Fe  0.8363  0.1637  0.5000  8 Ta 2.66-2.71
Os  0.5000  0.5000  0.5000  8 Ta 2.71-2.75

## Properties
crystal system: orthorhombic
calculated total energy: -65.05 eV per cell
spin magnetization: 0.41 μB per atom
ΔH_f (0 K): -0.22 eV/atom

***

[9]
## Ta2FeOs (GGA-PBE)

Data for a relaxed Ta2FeOs crystal.

abc: 3.1782 3.1782 6.2157
angles: 90.00 90.00 90.00
Last column: nearest neighbours and their distance in Å.
Sites, in units of the cell vectors:
Ta  0.0000  0.0000  0.0000  4 Os 2.71, 4 Ta 2.88, 1 Fe 3.01
Ta  0.5000  0.5000  0.2890  4 Fe 2.65, 4 Ta 2.88, 1 Os 2.91
Fe  0.0000  0.0000  0.5161  4 Ta 2.65, 4 Os 2.70
Os  0.5000  0.5000  0.7570  4 Fe 2.70, 5 Ta 2.71-2.91

## Properties
crystal system: tetragonal
calculated total energy: -43.83 eV per cell
excess energy over the best structure of this formula in the dataset: 0.155 eV/atom
spin magnetization: 0.62 μB per atom
ΔH_f (0 K): -0.11 eV/atom

***

[10]
## TaFe2Os (GGA-PBE)

Data for a relaxed TaFe2Os crystal.

abc: 8.6699 8.6699 8.6699
angles: 18.43 18.43 18.43
Last column: nearest neighbours and their distance in Å.
Sites, in units of the cell vectors:
Ta  0.0000  0.0000  0.0000  3 Fe 2.74, 6 Ta 2.78, 3 Os 2.84
Fe  0.4933  0.4933  0.4933  3 Fe 2.46, 3 Os 2.63
Fe  0.7538  0.7538  0.7538  3 Fe 2.46, 3 Ta 2.74
Os  0.2414  0.2414  0.2414  3 Fe 2.63, 6 Os 2.78, 3 Ta 2.84

## Properties
crystal system: trigonal
calculated total energy: -39.16 eV per cell
spin magnetization: 1.18 μB per atom
ΔH_f (0 K): 0.21 eV/atom

***

[11]
## Ta2FeOs (GGA-PBE)

Data for a relaxed Ta2FeOs crystal.

abc: 3.1148 3.1148 6.3605
angles: 90.00 90.00 90.00
Last column: nearest neighbours and their distance in Å.
Sites, in units of the cell vectors:
Ta  0.0000  0.0000  0.2380  4 Fe 2.67, 4 Os 2.76
Ta  0.0000  0.0000  0.7620  4 Fe 2.67, 4 Os 2.76
Fe  0.5000  0.5000  0.0000  8 Ta 2.67
Os  0.5000  0.5000  0.5000  8 Ta 2.76

## Properties
crystal system: tetragonal
calculated total energy: -44.38 eV per cell
excess energy over the best structure of this formula in the dataset: 0.017 eV/atom
spin magnetization: 0.36 μB per atom
ΔH_f (0 K): -0.25 eV/atom

***

[12]
## TaFe2Os (GGA-PBE)

Data for a relaxed TaFe2Os crystal.

abc: 2.7159 2.7159 7.2436
angles: 90.00 90.00 90.00
Last column: nearest neighbours and their distance in Å.
Sites, in units of the cell vectors:
Ta  0.0000  0.0000  0.0000  4 Ta 2.72, 8 Fe 2.74
Fe  0.5000  0.5000  0.2702  4 Os 2.54, 4 Fe 2.72, 4 Ta 2.74
Fe  0.5000  0.5000  0.7298  4 Os 2.54, 4 Fe 2.72, 4 Ta 2.74
Os  0.0000  0.0000  0.5000  8 Fe 2.54, 4 Os 2.72

## Properties
crystal system: tetragonal
calculated total energy: -39.61 eV per cell
spin magnetization: 0.00 μB per atom
ΔH_f (0 K): 0.10 eV/atom